1.
Below is a PBEsol-optimized structure of InHg3S, with properties calculated at the meta-GGA SCAN level.

a b c (Å): 5.3644 5.3644 5.3644
angles (deg): 90.00 90.00 90.00
With the nearest neighbours (Å) after each atom.
Sites, in units of the cell vectors:
In 0.0000 0.0000 0.0000  6 Hg 2.68
Hg 0.0000 0.0000 0.5000  2 In 2.68
Hg 0.0000 0.5000 0.0000  2 In 2.68
Hg 0.5000 0.0000 0.0000  2 In 2.68
S 0.5000 0.5000 0.5000  12 Hg 3.79

Values from the calculation:
Its energy relative to the elements, uncorrected is 439 meV per atom. The space group is No. 221. The total magnetization is 1.14 Bohr magnetons per cell.

2.
Below is a PBEsol-optimized structure of Ti2InNi, with properties calculated at the meta-GGA SCAN level.

a b c (Å): 4.4639 4.4639 4.4639
angles (deg): 60.00 60.00 60.00
With the nearest neighbours (Å) after each atom.
Sites, in units of the cell vectors:
Ti 0.0000 0.0000 0.0000  4 In 2.73, 4 Ti 2.73
Ti 0.2500 0.2500 0.2500  4 Ni 2.73, 4 Ti 2.73
In 0.7500 0.7500 0.7500  4 Ti 2.73, 4 Ni 2.73
Ni 0.5000 0.5000 0.5000  4 In 2.73, 4 Ti 2.73

Values from the calculation:
The space group is No. 216. The value obtained for the formation energy is -0.26 eV/atom. The total magnetization is 3.00 Bohr magnetons per cell.